VASP calculation (GGA-PBE) on crystalline Ba2NaIr at its relaxed geometry.

## Properties
**E**: -3.53 eV per atom

The structure in CIF format:
```
data_Ba2NaIr
_chemical_formula_sum 'Ba2 Na1 Ir1'
_symmetry_space_group_name_H-M 'P 1'
_symmetry_Int_Tables_number 1
_cell_length_a 4.559
_cell_length_b 4.559
_cell_length_c 10.201
_cell_angle_alpha 77.09
_cell_angle_beta 77.09
_cell_angle_gamma 60.00
loop_
_symmetry_equiv_pos_as_xyz
'x,y,z'
loop_
_atom_site_label
_atom_site_fract_x
_atom_site_fract_y
_atom_site_fract_z
Na1 0.502 0.502 0.494
Ba1 0.054 0.054 0.837
Ba2 0.278 0.278 0.165
Ir1 0.666 0.666 0.003
```